# 1
DFT (PBE) results for a relaxed ScOsS2Cl crystal.

Computed properties:
Calculated volume: 101 Å³/f.u.
Energy above the lowest structure with this stoichiometry: 0.000 eV per atom
Formation energy without anion corrections: 0.0089 eV/atom
Energy: -5.52 eV per atom

a = 4.6406 Å, b = 4.6406 Å, c = 4.7122 Å
α = 90.00°, β = 90.00°, γ = 90.00°
Atoms (fractional coordinates):
S 0.0000 0.5000 0.0000
S 0.5000 0.0000 0.0000
Os 0.0000 0.0000 0.0000
Cl 0.0000 0.0000 0.5000
Sc 0.5000 0.5000 0.5000



# 2
DFT (PBE) results for a relaxed NdY2TeO8 crystal.

Computed properties:
Calculated volume: 179 Å³/f.u.
Formation energy without anion corrections: -2.4646 eV/atom
Energy: -7.51 eV per atom

a = 5.0376 Å, b = 5.0416 Å, c = 7.0528 Å
α = 90.00°, β = 90.00°, γ = 90.63°
Last column: magnetic moment on the atom in μB.
Atoms (fractional coordinates):
O 0.8173 0.1841 0.2056  0.04
O 0.3208 0.3185 0.5000  0.23
O 0.1826 0.8159 0.2056  0.04
O 0.1827 0.8159 0.7944  0.04
O 0.8174 0.1841 0.7944  0.04
O 0.2770 0.2753 0.0000  0.08
O 0.7230 0.7247 0.0000  0.08
O 0.6792 0.6815 0.5000  0.23
Nd 0.0000 0.0000 0.5000  0.01
Y 0.5000 0.5000 0.2400  -0.01
Y 0.5000 0.5000 0.7600  -0.01
Te 0.0000 0.0000 0.0000  -0.01



# 3
DFT (PBE) results for a relaxed Fe4SnMo crystal.

Computed properties:
Calculated volume: 80 Å³/f.u.
DFT formation energy: 0.096 eV/atom
Energy: -8.02 eV per atom

a = 4.8365 Å, b = 4.8365 Å, c = 4.8365 Å
α = 60.00°, β = 60.00°, γ = 60.00°
Last column: magnetic moment on the atom in μB.
Atoms (fractional coordinates):
Sn 0.0000 0.0000 0.0000  -0.04
Fe 0.1285 0.6238 0.6238  1.93
Fe 0.6238 0.1285 0.6238  1.93
Fe 0.6238 0.6238 0.6238  1.93
Fe 0.6238 0.6238 0.1285  1.93
Mo 0.2500 0.2500 0.2500  -0.57



# 4
DFT (PBE) results for a relaxed SrMgZn4 crystal.

Computed properties:
Calculated volume: 130 Å³/f.u.
DFT formation energy: -0.101 eV/atom
Energy: -1.50 eV per atom

a = 4.1942 Å, b = 5.9621 Å, c = 5.9621 Å
α = 86.19°, β = 69.41°, γ = 69.41°
Atoms (fractional coordinates):
Sr 0.0000 0.0000 0.0000
Zn 0.2046 0.1360 0.4549
Zn 0.7954 0.5451 0.8640
Zn 0.7954 0.8640 0.5451
Zn 0.2046 0.4549 0.1360
Mg 0.5000 0.5000 0.5000